In3GaAg: relaxed, PBE-GGA.

Unit cell a=5.3340 b=5.3340 c=5.3340 alpha=90.00 beta=90.00 gamma=90.00
Element x y z (fractional)
1 In 0.0000 0.0000 0.5000
2 In 0.0000 0.5000 0.0000
3 In 0.5000 0.0000 0.0000
4 Ga 0.0000 0.0000 0.0000
5 Ag 0.5000 0.5000 0.5000

The formation energy comes out at 390 meV/atom. Its symmetry is Pm-3m (221). The total magnetization is 0.0 μB/f.u.

In2GaAg: relaxed, PBE-GGA.

Unit cell a=10.8149 b=10.8149 c=10.8149 alpha=17.04 beta=17.04 gamma=17.04
Element x y z (fractional)
1 In 0.0878 0.0878 0.0878
2 In 0.9122 0.9122 0.9122
3 Ga 0.5000 0.5000 0.5000
4 Ag 0.0000 0.0000 0.0000

The formation energy comes out at 153 meV/atom. Its symmetry is R-3m (166). The total magnetization is 0.0 μB/f.u.

InGa3Ag10: relaxed, PBE-GGA.

Unit cell a=9.2055 b=9.2055 c=9.2055 alpha=60.00 beta=60.00 gamma=60.00
Element x y z (fractional)
1 In 0.2500 0.2500 0.2500
2 In 0.7500 0.7500 0.7500
3 Ga 0.2284 0.2284 0.7716
4 Ga 0.2284 0.7716 0.2284
5 Ga 0.2284 0.7716 0.7716
6 Ga 0.7716 0.2284 0.2284
7 Ga 0.7716 0.2284 0.7716
8 Ga 0.7716 0.7716 0.2284
9 Ag 0.1238 0.1238 0.1238
10 Ag 0.1238 0.1238 0.6287
11 Ag 0.1238 0.6287 0.1238
12 Ag 0.1550 0.5000 0.5000
13 Ag 0.1550 0.5000 0.8450
14 Ag 0.1550 0.8450 0.5000
15 Ag 0.3713 0.8762 0.8762
16 Ag 0.5000 0.1550 0.5000
17 Ag 0.5000 0.1550 0.8450
18 Ag 0.5000 0.5000 0.1550
19 Ag 0.5000 0.5000 0.8450
20 Ag 0.5000 0.8450 0.1550
21 Ag 0.5000 0.8450 0.5000
22 Ag 0.6287 0.1238 0.1238
23 Ag 0.8450 0.1550 0.5000
24 Ag 0.8450 0.5000 0.1550
25 Ag 0.8450 0.5000 0.5000
26 Ag 0.8762 0.3713 0.8762
27 Ag 0.8762 0.8762 0.3713
28 Ag 0.8762 0.8762 0.8762

The formation energy comes out at 99 meV/atom. Its symmetry is Fm-3m (225). The total magnetization is 0.0 μB/f.u.

In2GaAg2: relaxed, PBE-GGA.

Unit cell a=7.3720 b=7.3720 c=7.3720 alpha=146.82 beta=146.82 gamma=47.63
Element x y z (fractional)
1 In 0.2500 0.7500 0.5000
2 In 0.7500 0.2500 0.5000
3 Ga 0.0000 0.0000 0.0000
4 Ag 0.3998 0.3998 0.0000
5 Ag 0.6002 0.6002 0.0000

The formation energy comes out at 201 meV/atom. Its symmetry is I4/mmm (139). The total magnetization is 0.0 μB/f.u.

InGa4Ag: relaxed, PBE-GGA.

Unit cell a=7.0481 b=7.0481 c=6.6740 alpha=102.84 beta=102.84 gamma=48.89
Element x y z (fractional)
1 In 0.1809 0.1809 0.3418
2 In 0.8191 0.8191 0.6582
3 Ga 0.1177 0.6600 0.2956
4 Ga 0.2321 0.7679 0.0000
5 Ga 0.2963 0.2963 0.9497
6 Ga 0.3400 0.8823 0.7044
7 Ga 0.6600 0.1177 0.2956
8 Ga 0.7037 0.7037 0.0503
9 Ga 0.7679 0.2321 0.0000
10 Ga 0.8823 0.3400 0.7044
11 Ag 0.4113 0.4113 0.6400
12 Ag 0.5887 0.5887 0.3600

The formation energy comes out at 28 meV/atom. Its symmetry is C2/m (12). The total magnetization is 0.0 μB/f.u.

In14GaAg: relaxed, PBE-GGA.

Unit cell a=7.0578 b=7.0578 c=8.3599 alpha=90.00 beta=90.00 gamma=90.49
Element x y z (fractional)
1 In 0.0000 0.0000 0.0000
2 In 0.0000 0.5000 0.0000
3 In 0.0000 0.5000 0.5000
4 In 0.2473 0.2473 0.2628
5 In 0.2473 0.2473 0.7372
6 In 0.2473 0.7527 0.2624
7 In 0.2473 0.7527 0.7376
8 In 0.5000 0.0000 0.0000
9 In 0.5000 0.0000 0.5000
10 In 0.5000 0.5000 0.0000
11 In 0.7527 0.2473 0.2624
12 In 0.7527 0.2473 0.7376
13 In 0.7527 0.7527 0.2628
14 In 0.7527 0.7527 0.7372
15 Ga 0.5000 0.5000 0.5000
16 Ag 0.0000 0.0000 0.5000

The formation energy comes out at 44 meV/atom. Its symmetry is Cmmm (65). The total magnetization is 0.0 μB/f.u.

In5Ga2Ag4: relaxed, PBE-GGA.

Unit cell a=3.1386 b=8.6120 c=9.0953 alpha=98.08 beta=93.05 gamma=99.97
Element x y z (fractional)
1 In 0.0000 0.0000 0.0000
2 In 0.0287 0.9714 0.6697
3 In 0.1862 0.3534 0.8540
4 In 0.8138 0.6466 0.1460
5 In 0.9713 0.0286 0.3303
6 Ga 0.2204 0.4159 0.3697
7 Ga 0.7796 0.5841 0.6303
8 Ag 0.3548 0.7123 0.8734
9 Ag 0.3623 0.7515 0.4347
10 Ag 0.6377 0.2485 0.5653
11 Ag 0.6452 0.2877 0.1266

The formation energy comes out at 22 meV/atom. Its symmetry is P-1 (2). The total magnetization is 0.0 μB/f.u.

In2Ga3Ag5: relaxed, PBE-GGA.

Unit cell a=8.4537 b=8.4537 c=5.6449 alpha=95.05 beta=95.05 gamma=96.36
Element x y z (fractional)
1 In 0.1273 0.6542 0.9443
2 In 0.3458 0.8727 0.5557
3 In 0.6542 0.1273 0.4443
4 In 0.8727 0.3458 0.0557
5 Ga 0.9999 0.0001 0.2500
6 Ga 0.0001 0.9999 0.7500
7 Ga 0.2210 0.5121 0.4141
8 Ga 0.4879 0.7790 0.0859
9 Ga 0.5121 0.2210 0.9141
10 Ga 0.7790 0.4879 0.5859
11 Ag 0.0026 0.7162 0.4537
12 Ag 0.2193 0.3233 0.9740
13 Ag 0.2838 0.9974 0.0463
14 Ag 0.3233 0.2193 0.4740
15 Ag 0.4760 0.5240 0.7500
16 Ag 0.5240 0.4760 0.2500
17 Ag 0.6767 0.7807 0.5260
18 Ag 0.7162 0.0026 0.9537
19 Ag 0.7807 0.6767 0.0260
20 Ag 0.9974 0.2838 0.5463

The formation energy comes out at 27 meV/atom. Its symmetry is C2/c (15). The total magnetization is 0.0 μB/f.u.

InGa4Ag8: relaxed, PBE-GGA.

Unit cell a=5.1654 b=5.1654 c=12.3912 alpha=93.18 beta=93.18 gamma=45.66
Element x y z (fractional)
1 In 0.0000 0.0000 0.0000
2 Ga 0.1511 0.1511 0.5394
3 Ga 0.3742 0.3742 0.8298
4 Ga 0.6258 0.6258 0.1702
5 Ga 0.8489 0.8489 0.4606
6 Ag 0.0685 0.0685 0.7667
7 Ag 0.2375 0.2375 0.3163
8 Ag 0.3013 0.3013 0.0834
9 Ag 0.4578 0.4578 0.6096
10 Ag 0.5422 0.5422 0.3904
11 Ag 0.6987 0.6987 0.9166
12 Ag 0.7625 0.7625 0.6837
13 Ag 0.9315 0.9315 0.2333

The formation energy comes out at 10 meV/atom. Its symmetry is C2/m (12). The total magnetization is 0.0 μB/f.u.

In3Ga2Ag4: relaxed, PBE-GGA.

Unit cell a=8.4366 b=8.4366 c=5.7236 alpha=99.05 beta=99.05 gamma=76.10
Element x y z (fractional)
1 In 0.0611 0.9389 0.7500
2 In 0.3068 0.4941 0.0424
3 In 0.4941 0.3068 0.5424
4 In 0.5059 0.6932 0.4576
5 In 0.6932 0.5059 0.9576
6 In 0.9389 0.0611 0.2500
7 Ga 0.1056 0.2871 0.6574
8 Ga 0.2871 0.1056 0.1574
9 Ga 0.7129 0.8944 0.8426
10 Ga 0.8944 0.7129 0.3426
11 Ag 0.0422 0.3804 0.1735
12 Ag 0.2155 0.5953 0.5449
13 Ag 0.3804 0.0422 0.6735
14 Ag 0.4047 0.7845 0.9551
15 Ag 0.5953 0.2155 0.0449
16 Ag 0.6196 0.9578 0.3265
17 Ag 0.7845 0.4047 0.4551
18 Ag 0.9578 0.6196 0.8265

The formation energy comes out at 42 meV/atom. Its symmetry is C2/c (15). The total magnetization is 0.0 μB/f.u.

InGaAg2: relaxed, PBE-GGA.

Unit cell a=6.1901 b=6.1901 c=6.1901 alpha=102.29 beta=102.29 gamma=125.05
Element x y z (fractional)
1 In 0.0000 0.0000 0.0000
2 In 0.7500 0.2500 0.5000
3 Ga 0.2500 0.7500 0.5000
4 Ga 0.5000 0.5000 0.0000
5 Ag 0.1519 0.6250 0.0269
6 Ag 0.3750 0.4019 0.5269
7 Ag 0.5981 0.1250 0.9731
8 Ag 0.8750 0.8481 0.4731

The formation energy comes out at 151 meV/atom. Its symmetry is I-42d (122). The total magnetization is 0.0 μB/f.u.

In6GaAg10: relaxed, PBE-GGA.

Unit cell a=8.3032 b=8.3032 c=5.8581 alpha=90.00 beta=90.00 gamma=120.00
Element x y z (fractional)
1 In 0.0000 0.3459 0.3225
2 In 0.0000 0.6541 0.6775
3 In 0.3459 0.0000 0.3225
4 In 0.3459 0.3459 0.6775
5 In 0.6541 0.0000 0.6775
6 In 0.6541 0.6541 0.3225
7 Ga 0.0000 0.0000 0.5000
8 Ag 0.0000 0.3069 0.8395
9 Ag 0.0000 0.6931 0.1605
10 Ag 0.3069 0.0000 0.8395
11 Ag 0.3069 0.3069 0.1605
12 Ag 0.3333 0.6667 0.0000
13 Ag 0.3333 0.6667 0.5000
14 Ag 0.6667 0.3333 0.0000
15 Ag 0.6667 0.3333 0.5000
16 Ag 0.6931 0.0000 0.1605
17 Ag 0.6931 0.6931 0.8395

The formation energy comes out at 54 meV/atom. Its symmetry is P-31m (162). The total magnetization is 0.0 μB/f.u.